# Pr2Dy2O5

An optimized crystal structure of Pr2Dy2O5 (PBE, OQMD). Values from VASP.

ΔE to the lowest computed polymorph: 0.0 kJ per mole of atoms
SG: P4/mmm
final energy: -7.568 eV/atom

Cell and atoms, written as Quantum ESPRESSO input:
```
&SYSTEM
  ibrav = 0, nat = 9, ntyp = 3
/
ATOMIC_SPECIES
Pr 140.91 Pr.upf
Dy 162.50 Dy.upf
O 16.00 O.upf
CELL_PARAMETERS angstrom
4.3430 0.0000 0.0000
0.0000 4.3430 0.0000
0.0000 0.0000 7.6918
ATOMIC_POSITIONS angstrom
Pr 0.0000 0.0000 0.0000
Pr 0.0000 0.0000 3.8459
Dy 2.1715 2.1715 1.7532
Dy 2.1715 2.1715 5.9386
O 0.0000 2.1715 1.8608
O 0.0000 2.1715 5.8310
O 2.1715 0.0000 1.8608
O 2.1715 0.0000 5.8310
O 2.1715 2.1715 3.8459
```